[1]
The following is a DFT calculation (PBE) of a geometry-optimized TlP structure.

Summary:
E_tot (eV per atom): -3.51
Total magnetic moment (μB/cell): 0.0
Symmetry: I-43m
Formation energy (eV/f.u.): 0.761

a = 8.3577 Å, b = 8.3577 Å, c = 8.3577 Å
α = 90.00°, β = 90.00°, γ = 90.00°
Positions (direct):
Tl  0.3358  0.3358  0.3358
Tl  0.3358  0.6642  0.6642
Tl  0.6642  0.3358  0.6642
Tl  0.6642  0.6642  0.3358
Tl  0.8358  0.8358  0.8358
Tl  0.8358  0.1642  0.1642
Tl  0.1642  0.8358  0.1642
Tl  0.1642  0.1642  0.8358
P  0.1590  0.1590  0.1590
P  0.1590  0.8410  0.8410
P  0.8410  0.1590  0.8410
P  0.8410  0.8410  0.1590
P  0.6590  0.6590  0.6590
P  0.6590  0.3410  0.3410
P  0.3410  0.6590  0.3410
P  0.3410  0.3410  0.6590

[2]
The following is a DFT calculation (PBE) of a geometry-optimized Si2TcRu2 structure.

Summary:
ΔE_f (raw) (eV/atom): -0.262
E_tot (eV per atom): -8.21
Total magnetic moment (μB/cell): 0.0
Relative energy among the computed polymorphs (eV per atom): 0.1170
Symmetry: Cmmm

a = 2.9508 Å, b = 2.8827 Å, c = 8.1413 Å
α = 79.80°, β = 90.00°, γ = 90.00°
Positions (direct):
Si  0.5000  0.4034  0.1931
Si  0.5000  0.5966  0.8069
Tc  0.0000  0.0000  0.0000
Ru  0.0000  0.1816  0.6368
Ru  0.0000  0.8184  0.3632